[1]
A relaxed H16PdC4S4N8Cl2 crystal, computed with PBE.

a b c (Å): 13.3133 8.3004 15.7360
angles (deg): 90.00 90.00 90.00
Space group Pna2_1 (No. 33)
Unique sites:
H1 0.0039 0.0297 0.1621
H2 0.0245 0.3055 0.0852
H3 0.0259 0.0641 0.7583
H4 0.0538 0.5229 0.9707
H5 0.0651 0.8013 0.9902
H6 0.1029 0.4330 0.8793
H7 0.1029 0.9248 0.9048
H8 0.1060 0.8670 0.3518
H9 0.1450 0.1016 0.4701
H10 0.1473 0.3024 0.0496
H11 0.1535 0.5911 0.5000
H12 0.1928 0.2198 0.3863
H13 0.2219 0.5071 0.4170
H14 0.2247 0.9372 0.6196
H15 0.2260 0.8423 0.3106
H16 0.2461 0.5484 0.2113
Pd1 0.1240 0.5036 0.6891
C1 0.1072 0.6812 0.8815
C2 0.1249 0.4428 0.1543
C3 0.1257 0.9518 0.2301
C4 0.1452 0.3439 0.4932
S1 0.0451 0.5025 0.2342
S2 0.0763 0.3152 0.5856
S3 0.1646 0.7096 0.7842
S4 0.2060 0.9885 0.1461
N1 0.0280 0.9815 0.2180
N2 0.0834 0.5358 0.9113
N3 0.0913 0.8118 0.9295
N4 0.0944 0.3576 0.0862
N5 0.1564 0.8937 0.3050
N6 0.1621 0.2132 0.4459
N7 0.1758 0.4890 0.4683
N8 0.2217 0.4823 0.1608
Cl1 0.1065 0.8533 0.5301
Cl2 0.1485 0.1626 0.8440

Computed properties:
As for the total moment: 0.0 Bohr magnetons per cell. The energy is -5.54 eV per atom. The calculation puts the energy above the most stable polymorph in this dataset at 4.7 meV/atom.


[2]
A relaxed LiPd4Pt2 crystal, computed with PBE.

a b c (Å): 5.3904 7.1222 7.1315
angles (deg): 70.44 67.83 67.85
Space group P1 (No. 1)
Unique sites:
Li1 0.0000 0.0000 0.0000
Li2 0.4720 0.0283 0.0278
Pd1 0.0146 0.2361 0.2369
Pd2 0.4796 0.7718 0.7719
Pd3 0.5226 0.2362 0.2360
Pd4 0.6121 0.1466 0.6395
Pd5 0.6135 0.6393 0.1470
Pd6 0.8758 0.3881 0.8722
Pd7 0.8758 0.8722 0.3881
Pd8 0.9855 0.7721 0.7726
Pt1 0.1370 0.1300 0.6072
Pt2 0.1374 0.6073 0.1301
Pt3 0.2506 0.5090 0.5087
Pt4 0.7449 0.5087 0.5088

Computed properties:
As for the total moment: 0.0 Bohr magnetons per cell. The energy is -4.95 eV per atom. The value obtained for the formation energy is 12 kJ/mol of formula units. The calculation puts the energy above the most stable polymorph in this dataset at 66.6 meV/atom.